Material: TaCrI2
Method: DFT, PBE-GGA
State: optimized geometry

abc: 7.257 7.257 7.257
angles: 125.49 125.49 80.73
Fractional positions:
1 Ta 0.000 0.000 0.000
2 Ta 0.750 0.250 0.500
3 Cr 0.250 0.750 0.500
4 Cr 0.500 0.500 0.000
5 I 0.129 0.625 0.004
6 I 0.375 0.379 0.504
7 I 0.621 0.125 0.996
8 I 0.875 0.871 0.496

E_form (uncorrected) in eV/f.u.: 4.6
Fermi-level density of states in states/eV/atom: 0.817
Electronic total energy in eV per cell: -40.00
Symmetry: I-42d
Crystal system: tetragonal

=====

Material: MgTlSbTe2
Method: DFT, PBE-GGA
State: optimized geometry

abc: 5.651 5.651 5.363
angles: 90.00 90.00 90.00
Fractional positions:
1 Mg 0.000 0.000 0.000
2 Tl 0.500 0.500 0.500
3 Sb 0.000 0.000 0.500
4 Te 0.000 0.500 0.000
5 Te 0.500 0.000 0.000

E_form (uncorrected) in eV/f.u.: 0.5
Fermi-level density of states in states/eV/atom: 0.920
Electronic total energy in eV per cell: -13.82
Symmetry: P4/mmm
Crystal system: tetragonal